3
Lattice="-3.3493 -0.5873 -0.0380 0.2896 -1.9033 3.8935 -0.7456 4.2698 -0.2799" Properties=species:S:1:pos:R:3 comment="AgTeRu meta-GGA SCAN PBEsol geometry" e_form_raw_ev_per_atom=0.354 e_tot_ev_per_cell=-102.4 vol_a3_per_atom=18.52 sg="P-6m2, No. 187" pbc="T T T"
Ag 0.0000 0.0000 0.0000
Ru -2.0752 1.9184 1.0922
Te -1.7301 -0.1393 2.4833